No. 1
DFT (PBE) results for a relaxed structure of Sr2BH5.

The structure in extended XYZ format:
```
8
Lattice="-1.476 -1.584 4.571 0.679 -4.799 -1.443 3.791 3.328 -0.421" Properties=species:S:1:pos:R:3 pbc="T T T"
Sr 0.842 -0.728 2.818
Sr 1.920 -2.336 -0.190
H -0.631 -5.064 2.481
H -0.163 -1.319 0.647
H 1.710 -3.107 2.274
H -1.029 -2.249 3.327
H 0.234 -4.135 -0.199
B 0.002 0.000 0.001
```

Results
Total magnetic moment in Bohr magnetons per cell: 0.0
E in eV per atom: -3.443
Theoretical density in g/cm3: 3.5
Fermi-level density of states in states/eV per cell: 0.919
Volume in A^3/atom: 11.46

No. 2
DFT (PBE) results for a relaxed structure of SrB3H12.

The structure in extended XYZ format:
```
32
Lattice="-2.679 2.510 6.687 -4.711 -4.375 4.106 2.319 -3.100 6.444" Properties=species:S:1:pos:R:3 pbc="T T T"
B -4.087 -4.155 9.889
B -3.453 0.108 6.014
B -1.465 -3.172 6.338
B -5.729 -0.553 9.263
B -5.468 -3.353 6.387
B -1.923 -0.188 9.706
H -0.778 -2.724 7.241
H -4.293 -3.623 14.791
H -0.013 -0.610 6.437
H 1.138 -1.668 3.581
H -3.146 0.160 9.635
H -4.291 -3.364 6.067
H -1.449 -0.315 8.595
H -4.928 -4.084 8.935
H -1.848 -1.223 10.346
H -1.087 -5.512 9.981
H -2.257 -3.997 6.746
H -4.857 0.017 8.602
H -3.006 0.332 7.126
H -3.721 -1.067 5.750
H 1.026 -3.142 8.494
H -3.994 -3.086 10.458
H -0.872 -3.546 5.323
H -2.073 -2.207 5.773
H -3.014 -4.518 9.437
H -3.732 -5.511 12.203
H -5.517 -1.717 9.562
H -0.466 -2.461 11.593
H -5.732 -2.923 7.513
H -2.337 -2.580 12.411
Sr -3.359 -2.056 8.128
Sr 1.496 -2.673 5.954
```

Results
Total magnetic moment in Bohr magnetons per cell: 0.0
E in eV per atom: -3.982
Theoretical density in g/cm3: 1.4
Fermi-level density of states in states/eV per cell: 6.586
Volume in A^3/atom: 9.59

No. 3
DFT (PBE) results for a relaxed structure of Sr3BH.

The structure in extended XYZ format:
```
5
Lattice="-3.395 1.734 3.301 -0.950 -4.719 1.502 3.605 0.390 3.504" Properties=species:S:1:pos:R:3 pbc="T T T"
Sr -0.475 -2.359 0.751
Sr -1.697 0.867 1.650
Sr 1.803 0.195 1.752
H 0.000 0.000 0.000
B -0.370 -1.298 4.153
```

Results
Relative energy among the computed polymorphs in eV/f.u.: 0.00
Total magnetic moment in Bohr magnetons per cell: 0.0
Theoretical density in g/cm3: 3.6
Fermi-level density of states in states/eV per cell: 2.065
Volume in A^3/atom: 25.64